Arrangement w

Below is an optimized crystal structure of Li2AcZn6, with properties calculated at the PBE level.

Lattice parameters (Å, degrees): 8.202 8.202 8.202 60.00 60.00 60.00
Element x y z (fractional)
Li  0.000  0.000  0.000
Li  0.000  0.000  0.500
Li  0.000  0.500  0.000
Li  0.500  0.000  0.000
Ac  0.375  0.375  0.375
Ac  0.625  0.625  0.625
Zn  0.107  0.107  0.643
Zn  0.107  0.643  0.107
Zn  0.107  0.643  0.643
Zn  0.357  0.357  0.893
Zn  0.357  0.893  0.357
Zn  0.357  0.893  0.893
Zn  0.643  0.107  0.107
Zn  0.643  0.107  0.643
Zn  0.643  0.643  0.107
Zn  0.893  0.357  0.357
Zn  0.893  0.357  0.893
Zn  0.893  0.893  0.357

Summary:
symmetry	No. 227
magnetization	0.0	μB/f.u.

Arrangement x

Below is an optimized crystal structure of Li2AcZn6, with properties calculated at the PBE level.

Lattice parameters (Å, degrees): 7.841 7.841 3.551 90.00 90.00 120.00
Element x y z (fractional)
Li  0.333  0.667  0.000
Li  0.667  0.333  0.000
Ac  0.000  0.000  0.000
Zn  0.000  0.345  0.500
Zn  0.000  0.655  0.500
Zn  0.345  0.000  0.500
Zn  0.345  0.345  0.500
Zn  0.655  0.000  0.500
Zn  0.655  0.655  0.500

Summary:
symmetry	No. 191
magnetization	0.0	μB/f.u.

arrangement x wins, 314 meV per atom ahead of the next structure.

Arrangement w

Below is an optimized crystal structure of Li2AcZn9, with properties calculated at the PBE level.

Lattice parameters (Å, degrees): 9.002 9.002 9.002 35.07 35.07 35.07
Element x y z (fractional)
Li  0.145  0.145  0.145
Li  0.855  0.855  0.855
Ac  0.000  0.000  0.000
Zn  0.079  0.592  0.592
Zn  0.335  0.335  0.335
Zn  0.408  0.408  0.921
Zn  0.408  0.921  0.408
Zn  0.500  0.500  0.500
Zn  0.592  0.079  0.592
Zn  0.592  0.592  0.079
Zn  0.665  0.665  0.665
Zn  0.921  0.408  0.408

Summary:
symmetry	No. 166
magnetization	0.0	μB/f.u.

Arrangement x

Below is an optimized crystal structure of Li2AcZn9, with properties calculated at the PBE level.

Lattice parameters (Å, degrees): 7.899 7.899 3.895 90.00 90.00 120.00
Element x y z (fractional)
Li  0.333  0.667  0.000
Li  0.667  0.333  0.000
Ac  0.000  0.000  0.000
Zn  0.000  0.500  0.000
Zn  0.206  0.412  0.500
Zn  0.206  0.794  0.500
Zn  0.412  0.206  0.500
Zn  0.500  0.000  0.000
Zn  0.500  0.500  0.000
Zn  0.588  0.794  0.500
Zn  0.794  0.206  0.500
Zn  0.794  0.588  0.500

Summary:
symmetry	No. 191
magnetization	0.0	μB/f.u.

arrangement w wins, 124 meV per atom ahead of the next structure.

Arrangement w

Below is an optimized crystal structure of Li3AcZn3, with properties calculated at the PBE level.

Lattice parameters (Å, degrees): 6.779 6.779 6.779 90.00 90.00 90.00
Element x y z (fractional)
Li  0.000  0.250  0.500
Li  0.000  0.750  0.500
Li  0.250  0.500  0.000
Li  0.500  0.000  0.250
Li  0.500  0.000  0.750
Li  0.750  0.500  0.000
Ac  0.000  0.000  0.000
Ac  0.500  0.500  0.500
Zn  0.000  0.500  0.250
Zn  0.000  0.500  0.750
Zn  0.250  0.000  0.500
Zn  0.500  0.250  0.000
Zn  0.500  0.750  0.000
Zn  0.750  0.000  0.500

Summary:
symmetry	No. 223
magnetization	0.0	μB/f.u.

Arrangement x

Below is an optimized crystal structure of Li3AcZn3, with properties calculated at the PBE level.

Lattice parameters (Å, degrees): 9.184 9.184 4.387 90.00 90.00 120.00
Element x y z (fractional)
Li  0.042  0.771  0.250
Li  0.229  0.271  0.250
Li  0.271  0.042  0.750
Li  0.729  0.958  0.250
Li  0.771  0.729  0.750
Li  0.958  0.229  0.750
Ac  0.333  0.667  0.750
Ac  0.667  0.333  0.250
Zn  0.050  0.443  0.250
Zn  0.393  0.950  0.250
Zn  0.443  0.393  0.750
Zn  0.557  0.607  0.250
Zn  0.607  0.050  0.750
Zn  0.950  0.557  0.750

Summary:
symmetry	No. 176
magnetization	0.0	μB/f.u.

arrangement x wins, 214 meV per atom ahead of the next structure.